K6HgF12: optimized geometry, PBE.

Unit cell a=7.402 b=7.402 c=7.402 alpha=99.24 beta=99.24 gamma=99.24
Atoms (fractional coordinates):
K: 0.161 0.617 0.268
K: 0.268 0.161 0.617
K: 0.383 0.732 0.839
K: 0.617 0.268 0.161
K: 0.732 0.839 0.383
K: 0.839 0.383 0.732
Hg: 0.000 0.000 0.000
F: 0.030 0.710 0.939
F: 0.061 0.970 0.290
F: 0.133 0.471 0.568
F: 0.290 0.061 0.970
F: 0.432 0.867 0.529
F: 0.471 0.568 0.133
F: 0.529 0.432 0.867
F: 0.568 0.133 0.471
F: 0.710 0.939 0.030
F: 0.867 0.529 0.432
F: 0.939 0.030 0.710
F: 0.970 0.290 0.061

BeTe3: optimized geometry, PBE.

Unit cell a=8.684 b=8.684 c=3.820 alpha=90.00 beta=90.00 gamma=126.09
Atoms (fractional coordinates):
Be: 0.041 0.959 0.750
Be: 0.959 0.041 0.250
Te: 0.084 0.312 0.750
Te: 0.312 0.084 0.250
Te: 0.393 0.607 0.250
Te: 0.607 0.393 0.750
Te: 0.688 0.916 0.750
Te: 0.916 0.688 0.250

For reference, E_tot by record: -67.68; -24.38 eV per cell.
For reference, density of states at the Fermi level by record: 0.518; 0.476 states/eV per atom.